Ga4PbSe7 after structural relaxation, computed with PBE.

Summary:
* formation energy from raw total energies: -7.00 eV per formula unit
* space group: No. 31
* Fermi-level density of states: 0.00 states/eV/f.u.
* final energy: -94.4 eV per cell
* magnetization: 0.00 μB per formula unit

abc: 15.7439 6.7474 6.3761
angles: 90.00 90.00 90.00
Last column: nearest neighbours and their distance in Å.
Sites, in units of the cell vectors:
Ga1 0.1240 0.1598 0.0000  4 Se 2.39-2.49
Ga2 0.2457 0.6789 0.9899  4 Se 2.38-2.50
Ga3 0.2543 0.3211 0.4899  4 Se 2.38-2.50
Ga4 0.3760 0.8402 0.5000  4 Se 2.39-2.49
Ga5 0.6240 0.8402 0.5000  4 Se 2.39-2.49
Ga6 0.7457 0.3211 0.4899  4 Se 2.38-2.50
Ga7 0.7543 0.6789 0.9899  4 Se 2.38-2.50
Ga8 0.8760 0.1598 0.0000  4 Se 2.39-2.49
Pb1 0.0000 0.4812 0.4486  3 Se 2.89-3.03
Pb2 0.5000 0.5188 0.9486  3 Se 2.89-3.03
Se1 0.0000 0.3641 0.9073  2 Ga 2.46
Se2 0.1164 0.8260 0.8764  2 Ga 2.38-2.39
Se3 0.1206 0.1641 0.3881  2 Ga 2.44-2.48
Se4 0.2433 0.6732 0.3827  3 Ga 2.48-2.50
Se5 0.2567 0.3268 0.8827  3 Ga 2.48-2.50
Se6 0.3794 0.8359 0.8881  2 Ga 2.44-2.48
Se7 0.3836 0.1740 0.3764  2 Ga 2.38-2.39
Se8 0.5000 0.6359 0.4073  2 Ga 2.46
Se9 0.6164 0.1740 0.3764  2 Ga 2.38-2.39
Se10 0.6206 0.8359 0.8881  2 Ga 2.44-2.48
Se11 0.7433 0.3268 0.8827  3 Ga 2.48-2.50
Se12 0.7567 0.6732 0.3827  3 Ga 2.48-2.50
Se13 0.8794 0.1641 0.3881  2 Ga 2.44-2.48
Se14 0.8836 0.8260 0.8764  2 Ga 2.38-2.39